## BeBRh (PBE-GGA)

Data for BeBRh after structural relaxation.

```
BeBRh
1.0
-1.1582 -3.1173 -1.2158
1.8058 -2.9606 0.7148
-2.8150 -2.7373 4.5440
B Be Rh
2 2 2
direct
0.5876 0.5876 0.2371
0.4124 0.4124 0.7629
0.1317 0.1317 0.6048
0.8683 0.8683 0.3952
0.7240 0.7240 0.8279
0.2760 0.2760 0.1721
```

Values from the calculation:
As for the energy of formation from the pure elements: -0.3146 eV per atom. The crystal system is trigonal. The density of states at the Fermi level is 1.1 states/eV per cell. As for the space-group type: No. 166. The value obtained for the energy above the most stable polymorph in this dataset is 0 meV/atom.